[1]
Density functional theory data (PBE) for a relaxed structure of RuWBr2.

```
4
Lattice="-7.5886 1.1138 5.3815 -8.6926 -2.3432 2.5955 8.9528 -0.9932 -2.5786" Properties=species:S:1:pos:R:3 pbc="T T T"
Br -0.3177 -0.0240 0.1557
Br -3.0764 -0.2235 3.2429
W -5.2392 -2.0736 2.6392
Ru -6.8357 -0.5162 3.3492
```

Summary:
As for the space group: Imm2 (44). The value obtained for the raw formation energy is 400 meV per atom. The value obtained for the calculated volume is 95 Å³ per cell. For the spin magnetization, the calculation gives 0.000 μB/atom.

[2]
Density functional theory data (PBE) for a relaxed structure of Ru3WBr.

```
5
Lattice="-2.6302 -2.1907 -3.3530 3.4388 0.8214 -3.2342 2.0534 -4.1816 1.1213" Properties=species:S:1:pos:R:3 pbc="T T T"
Ru -1.3151 -1.0954 -1.6765
Ru 1.7194 0.4107 -1.6171
Ru 1.0267 -2.0908 0.5607
Br 1.4310 -2.7755 -2.7329
W 0.0000 0.0000 0.0000
```

Summary:
As for the space group: Pm-3m (221). The value obtained for the raw formation energy is 1763 meV per atom. The value obtained for the calculated volume is 110 Å³ per cell. For the spin magnetization, the calculation gives 0.741 μB/atom.

[3]
Density functional theory data (PBE) for a relaxed structure of RuW3Br.

```
5
Lattice="4.5379 0.0000 0.0000 0.0000 4.5379 0.0000 0.0000 0.0000 4.5379" Properties=species:S:1:pos:R:3 pbc="T T T"
W 2.2689 0.0000 0.0000
Br 0.0000 0.0000 0.0000
W 0.0000 0.0000 2.2689
W 0.0000 2.2689 0.0000
Ru 2.2689 2.2689 2.2689
```

Summary:
As for the space group: Pm-3m (221). The value obtained for the raw formation energy is 2345 meV per atom. The value obtained for the calculated volume is 93 Å³ per cell. For the spin magnetization, the calculation gives 0.000 μB/atom.

[4]
Density functional theory data (PBE) for a relaxed structure of RuWBr2.

```
4
Lattice="-1.7692 -3.0226 -0.7153 1.2569 -2.5198 -2.2019 3.9891 -5.0678 6.4063" Properties=species:S:1:pos:R:3 pbc="T T T"
Br 1.1440 -3.2774 1.2203
W 1.8317 -6.9628 1.3739
Br 3.6218 -4.9086 5.7125
Ru 2.6068 -5.8343 3.3334
```

Summary:
As for the space group: Cm (8). The value obtained for the raw formation energy is 57 meV per atom. The value obtained for the calculated volume is 97 Å³ per cell. For the spin magnetization, the calculation gives 0.000 μB/atom.

[5]
Density functional theory data (PBE) for a relaxed structure of RuWBr2.

```
4
Lattice="3.0269 0.0000 0.0000 0.0000 3.2949 -0.0051 0.0000 -0.0287 8.9572" Properties=species:S:1:pos:R:3 pbc="T T T"
Br 1.5134 1.2130 2.7623
Br 0.0000 2.8692 8.3612
Ru 0.0000 1.2168 4.9377
W 1.5134 2.8665 6.3188
```

Summary:
As for the space group: Pm (6). The value obtained for the raw formation energy is 142 meV per atom. The value obtained for the calculated volume is 89 Å³ per cell. For the spin magnetization, the calculation gives 0.000 μB/atom.

[6]
Density functional theory data (PBE) for a relaxed structure of RuWBr2.

```
8
Lattice="-1.9425 -5.2957 -1.1113 5.0623 -1.3615 -2.3606 3.3701 -5.0108 3.1163" Properties=species:S:1:pos:R:3 pbc="T T T"
Br 3.7615 -2.7715 -0.8364
Ru 4.9961 -4.8505 -0.4901
Ru 1.5599 -3.3286 -1.7359
Br 0.2634 -4.7269 -0.2093
W 1.4937 -6.8176 0.1345
Br 3.7031 -6.2561 1.0326
Br 5.2518 -9.5817 -0.6981
W 0.0000 0.0000 0.0000
```

Summary:
As for the space group: I-42d (122). The value obtained for the raw formation energy is 1438 meV per atom. The value obtained for the calculated volume is 180 Å³ per cell. For the spin magnetization, the calculation gives 0.000 μB/atom.

[7]
Density functional theory data (PBE) for a relaxed structure of RuWBr2.

```
4
Lattice="-0.6575 4.3013 0.8355 -3.0899 -0.4152 -0.2939 0.0450 -1.0004 5.1860" Properties=species:S:1:pos:R:3 pbc="T T T"
Br -1.5915 -0.7168 2.4379
Br -3.0208 -0.4063 -0.2857
W -2.6124 1.0889 4.0868
Ru -1.0900 1.7967 1.6408
```

Summary:
As for the space group: P2/m (10). The value obtained for the raw formation energy is 1182 meV per atom. The value obtained for the calculated volume is 73 Å³ per cell. For the spin magnetization, the calculation gives 0.002 μB/atom.

[8]
Density functional theory data (PBE) for a relaxed structure of RuWBr2.

```
4
Lattice="5.4219 -0.0033 0.0069 -1.7448 5.1334 0.0069 1.0257 1.4311 2.6211" Properties=species:S:1:pos:R:3 pbc="T T T"
Br 0.0000 0.0000 0.0000
W -0.3595 3.2823 1.3140
Ru 3.2238 0.7139 1.3140
Br 1.8385 2.5651 0.0069
```

Summary:
As for the space group: C2/m (12). The value obtained for the raw formation energy is 1188 meV per atom. The value obtained for the calculated volume is 73 Å³ per cell. For the spin magnetization, the calculation gives 0.099 μB/atom.

[9]
Density functional theory data (PBE) for a relaxed structure of Ru2WBr2.

```
5
Lattice="4.0677 0.0000 0.0000 0.0000 4.0677 0.0000 2.0339 2.0339 5.4864" Properties=species:S:1:pos:R:3 pbc="T T T"
Ru 2.0339 4.0677 2.7432
Ru 4.0677 2.0339 2.7432
Br 4.0677 4.0677 4.1323
W 0.0000 0.0000 0.0000
Br 2.0339 2.0339 1.3541
```

Summary:
As for the space group: I4/mmm (139). The value obtained for the raw formation energy is 1808 meV per atom. The value obtained for the calculated volume is 91 Å³ per cell. For the spin magnetization, the calculation gives 0.000 μB/atom.

[10]
Density functional theory data (PBE) for a relaxed structure of RuW4Br.

```
6
Lattice="-2.3782 -4.0568 2.4480 -3.8737 -2.6687 -2.4452 0.8419 -4.9624 -1.6650" Properties=species:S:1:pos:R:3 pbc="T T T"
W -2.1937 -5.2783 -2.2584
W -1.4483 -5.9702 0.1806
Br -1.3525 -2.9220 -0.4155
Ru 0.0000 0.0000 0.0000
W -3.7988 -4.8269 -0.2083
W -3.3792 -7.3004 -1.0382
```

Summary:
As for the space group: F-43m (216). The value obtained for the raw formation energy is 1144 meV per atom. The value obtained for the calculated volume is 105 Å³ per cell. For the spin magnetization, the calculation gives 0.000 μB/atom.

[11]
Density functional theory data (PBE) for a relaxed structure of RuWBr2.

```
4
Lattice="7.9519 0.0337 -0.0016 6.2078 4.9695 0.0016 -6.8448 -3.1668 2.5206" Properties=species:S:1:pos:R:3 pbc="T T T"
Ru 4.0934 -0.3158 1.2595
W 3.2214 2.1521 1.2611
Br 1.5212 0.5375 0.0000
Br 5.5586 1.9641 0.0000
```

Summary:
As for the space group: Immm (71). The value obtained for the raw formation energy is 543 meV per atom. The value obtained for the calculated volume is 99 Å³ per cell. For the spin magnetization, the calculation gives 0.000 μB/atom.

[12]
Density functional theory data (PBE) for a relaxed structure of RuWBr2.

```
4
Lattice="-2.2215 0.4868 -2.2610 -1.7165 -2.4494 1.1591 -3.1065 4.0322 3.9205" Properties=species:S:1:pos:R:3 pbc="T T T"
Br -3.1003 4.0241 3.9126
Br -1.5595 2.0242 1.9681
W -4.2989 2.0429 2.3894
Ru -2.7456 0.0268 0.4292
```

Summary:
As for the space group: P4/mmm (123). The value obtained for the raw formation energy is 1253 meV per atom. The value obtained for the calculated volume is 66 Å³ per cell. For the spin magnetization, the calculation gives 0.000 μB/atom.